No. 1
# CsMnTc3

A relaxed structure of CsMnTc3 (GGA-PBE, Alexandria).

Cell: 4.8082 4.8082 4.8082 Å, 90.00 90.00 90.00°
Each line ends with the local moment (μB).
Fractional positions:
Cs1 0.0000 0.0000 0.0000  0.00
Tc1 0.0000 0.0000 0.5000  0.12
Tc2 0.0000 0.5000 0.0000  -0.01
Tc3 0.5000 0.0000 0.0000  -0.10
Mn1 0.5000 0.5000 0.5000  -0.04

**Spin magnetization**: 0.00 μB/f.u.
**VASP energy**: -4.579 eV per atom
**Formation enthalpy at 0 K**: 3645 meV/atom
**SG**: Pm-3m

***

No. 2
# MgCo2Ni2

A relaxed structure of MgCo2Ni2 (GGA-PBE, Alexandria).

Cell: 6.9746 6.9746 2.5800 Å, 90.00 90.00 90.00°
Each line ends with the local moment (μB).
Fractional positions:
Co1 0.8804 0.6196 0.0000  1.63
Co2 0.1196 0.3804 0.0000  1.63
Ni1 0.8254 0.3254 0.5000  0.70
Ni2 0.1746 0.6746 0.5000  0.70
Co3 0.3804 0.8804 0.0000  1.61
Co4 0.6196 0.1196 0.0000  1.61
Mg1 0.0000 0.0000 0.0000  -0.01
Mg2 0.5000 0.5000 0.0000  -0.01
Ni3 0.3254 0.1746 0.5000  0.65
Ni4 0.6746 0.8254 0.5000  0.65

**Spin magnetization**: 4.43 μB/f.u.
**VASP energy**: -5.394 eV per atom
**Formation enthalpy at 0 K**: 79 meV/atom
**SG**: P4/mbm

***

No. 3
# Pr2HoP3Pt12

A relaxed structure of Pr2HoP3Pt12 (GGA-PBE, Alexandria).

Cell: 7.7741 7.7741 7.7741 Å, 64.55 64.55 64.55°
Fractional positions:
Pt1 0.3387 0.3387 0.8986
Pt2 0.6002 0.1392 0.1392
Pr1 0.6011 0.6011 0.6011
Pt3 0.8608 0.3998 0.8608
Pt4 0.8986 0.3387 0.3387
P1 0.0000 0.0000 0.5000
Pt5 0.1392 0.6002 0.1392
Pt6 0.3998 0.8608 0.8608
Pr2 0.3989 0.3989 0.3989
P2 0.5000 0.0000 0.0000
Pt7 0.6613 0.6613 0.1014
P3 0.0000 0.5000 0.0000
Pt8 0.8608 0.8608 0.3998
Pt9 0.1392 0.1392 0.6002
Pt10 0.6613 0.1014 0.6613
Pt11 0.3387 0.8986 0.3387
Ho1 0.0000 0.0000 0.0000
Pt12 0.1014 0.6613 0.6613

**Spin magnetization**: 0.00 μB/f.u.
**VASP energy**: -6.201 eV per atom
**Formation enthalpy at 0 K**: -487 meV/atom
**SG**: R-3m

***

No. 4
# Sm4Tm3ScS8

A relaxed structure of Sm4Tm3ScS8 (GGA-PBE, Alexandria).

Cell: 7.7479 7.8973 7.7480 Å, 119.38 120.00 90.00°
Fractional positions:
Sm1 0.5000 0.0000 0.0000
Sm2 0.0000 0.0000 0.0000
S1 0.2557 0.2670 0.5113
S2 0.2409 0.7297 0.9889
S3 0.2520 0.2703 0.0111
Tm1 0.5000 0.5000 0.5000
Sc1 0.0000 0.5000 0.0000
S4 0.7443 0.7330 0.4887
S5 0.2409 0.7297 0.4818
Tm2 0.0000 0.5000 0.5000
S6 0.7591 0.2703 0.5182
Sm3 0.5000 0.0000 0.5000
S7 0.7480 0.7297 0.9889
Sm4 0.0000 0.0000 0.5000
Tm3 0.5000 0.5000 0.0000
S8 0.7591 0.2703 0.0111

**Spin magnetization**: 0.00 μB/f.u.
**VASP energy**: -6.444 eV per atom
**SG**: R-3m